1.
VASP calculation (PBE) on crystalline NaRh2F at its relaxed geometry.

extended XYZ file:
```
16
Lattice="4.733 0.000 0.000 0.000 4.733 0.000 0.000 0.000 15.515" Properties=species:S:1:pos:R:3 pbc="T T T"
Na 0.000 1.183 5.818
Na 0.000 3.550 9.697
Na 2.367 1.183 1.939
Na 2.367 3.550 13.576
Rh 0.000 0.000 0.000
Rh 0.000 2.367 0.000
Rh 1.183 1.183 11.636
Rh 1.183 3.550 3.879
Rh 2.367 0.000 7.758
Rh 2.367 2.367 7.758
Rh 3.550 1.183 11.636
Rh 3.550 3.550 3.879
F 0.000 1.183 13.576
F 0.000 3.550 1.939
F 2.367 1.183 9.697
F 2.367 3.550 5.818
```

Output
**Space-group type**: I4_1/amd (141)
**Uncorrected formation energy**: 254 meV/atom
**Density of states at the Fermi level**: 3.5 states/eV/f.u.

***

2.
VASP calculation (PBE) on crystalline SrTe2AuI at its relaxed geometry.

extended XYZ file:
```
5
Lattice="5.565 0.000 0.000 0.000 5.565 0.000 0.000 0.000 5.645" Properties=species:S:1:pos:R:3 pbc="T T T"
Sr 0.000 0.000 0.000
Te 0.000 2.783 2.823
Te 2.783 0.000 2.823
Au 2.783 2.783 2.823
I 2.783 2.783 0.000
```

Output
**Space-group type**: P4/mmm (123)
**Uncorrected formation energy**: -467 meV/atom
**Density of states at the Fermi level**: 2.5 states/eV/f.u.

***

3.
VASP calculation (PBE) on crystalline GaTcAg3 at its relaxed geometry.

extended XYZ file:
```
5
Lattice="5.182 0.000 0.000 0.000 5.182 0.000 0.000 0.000 5.182" Properties=species:S:1:pos:R:3 pbc="T T T"
Ga 0.000 0.000 0.000
Tc 2.591 2.591 2.591
Ag 0.000 2.591 2.591
Ag 2.591 0.000 2.591
Ag 2.591 2.591 0.000
```

Output
**Space-group type**: Pm-3m (221)
**DFT formation energy**: 1.32 eV/atom
**Density of states at the Fermi level**: 3.3 states/eV/f.u.

***

4.
VASP calculation (PBE) on crystalline TcC3S at its relaxed geometry.

extended XYZ file:
```
5
Lattice="4.064 0.000 0.000 0.000 4.064 0.000 0.000 0.000 4.064" Properties=species:S:1:pos:R:3 pbc="T T T"
Tc 0.000 0.000 0.000
C 0.000 0.000 2.032
C 0.000 2.032 0.000
C 2.032 0.000 0.000
S 2.032 2.032 2.032
```

Output
**Space-group type**: Pm-3m (221)
**Uncorrected formation energy**: 2278 meV/atom
**Density of states at the Fermi level**: 2.8 states/eV/f.u.

***

5.
VASP calculation (PBE) on crystalline ZnAuCl2 at its relaxed geometry.

extended XYZ file:
```
4
Lattice="3.678 0.000 0.000 0.000 3.780 0.000 0.000 0.000 6.651" Properties=species:S:1:pos:R:3 pbc="T T T"
Zn 0.000 0.000 0.000
Au 1.839 0.000 3.326
Cl 0.000 1.890 3.326
Cl 1.839 1.890 0.000
```

Output
**Space-group type**: Pmmm (47)
**Uncorrected formation energy**: -45 meV/atom
**Density of states at the Fermi level**: 1.9 states/eV/f.u.

***

6.
VASP calculation (PBE) on crystalline La2MgRu at its relaxed geometry.

extended XYZ file:
```
12
Lattice="4.113 0.000 0.000 -2.057 3.562 0.000 0.000 0.000 25.966" Properties=species:S:1:pos:R:3 pbc="T T T"
La 0.000 0.000 0.000
La 0.000 0.000 5.567
La 0.000 2.375 17.311
La 0.000 2.375 22.877
La 2.057 1.187 8.655
La 2.057 1.187 14.222
Mg 0.000 0.000 20.080
Mg 0.000 2.375 11.424
Mg 2.057 1.187 2.769
Ru 0.000 0.000 15.783
Ru 0.000 2.375 7.128
Ru 2.057 1.187 24.439
```

Output
**Space-group type**: R3m (160)
**DFT formation energy**: -0.11 eV/atom
**Density of states at the Fermi level**: 2.5 states/eV/f.u.

***

7.
VASP calculation (PBE) on crystalline H2AuSe at its relaxed geometry.

extended XYZ file:
```
4
Lattice="2.838 0.000 0.000 -0.026 4.637 0.000 -0.029 -0.107 6.194" Properties=species:S:1:pos:R:3 pbc="T T T"
H 0.000 0.000 0.000
H 0.334 0.671 0.063
Au 1.571 0.308 3.267
Se 1.558 2.627 2.452
```

Output
**Space-group type**: P1 (1)
**Total DFT energy (no corrections)**: -13.06 eV for the cell shown
**Density of states at the Fermi level**: 0.5 states/eV/f.u.

***

8.
VASP calculation (PBE) on crystalline LiErB4 at its relaxed geometry.

extended XYZ file:
```
6
Lattice="0.000 3.183 3.183 3.183 0.000 3.183 3.183 3.183 0.000" Properties=species:S:1:pos:R:3 pbc="T T T"
Li 0.000 0.000 0.000
Er 1.591 1.591 1.591
B 3.800 2.565 2.565
B 2.565 3.800 2.565
B 2.565 2.565 3.800
B 3.800 3.800 3.800
```

Output
**Space-group type**: F-43m (216)
**DFT formation energy**: 0.42 eV/atom
**Density of states at the Fermi level**: 1.2 states/eV/f.u.

***

9.
VASP calculation (PBE) on crystalline Ba2Ga3CuAu4 at its relaxed geometry.

extended XYZ file:
```
10
Lattice="4.702 0.000 0.000 0.000 4.702 0.000 0.000 0.000 10.586" Properties=species:S:1:pos:R:3 pbc="T T T"
Ba 0.000 2.351 2.579
Ba 2.351 0.000 8.007
Ga 0.000 0.000 0.000
Ga 0.000 2.351 6.570
Ga 2.351 0.000 4.016
Cu 2.351 2.351 0.000
Au 0.000 0.000 5.293
Au 0.000 2.351 9.281
Au 2.351 0.000 1.305
Au 2.351 2.351 5.293
```

Output
**Space-group type**: P-4m2 (115)
**DFT formation energy**: -0.51 eV/atom
**Density of states at the Fermi level**: 5.9 states/eV/f.u.

***

10.
VASP calculation (PBE) on crystalline Mg6ZnSn3 at its relaxed geometry.

extended XYZ file:
```
20
Lattice="5.521 -7.168 0.000 5.521 7.168 0.000 0.000 0.000 5.953" Properties=species:S:1:pos:R:3 pbc="T T T"
Mg 5.521 6.541 2.977
Mg 2.500 2.574 1.048
Mg 5.521 2.532 3.809
Mg 3.957 0.042 2.477
Mg 3.957 -0.042 5.454
Mg 2.500 -2.574 4.024
Mg 8.541 2.574 1.048
Mg 7.084 0.042 2.477
Mg 7.084 -0.042 5.454
Mg 5.521 -2.532 0.833
Mg 8.541 -2.574 4.024
Mg 5.521 -6.541 0.000
Zn 5.521 4.834 5.376
Zn 5.521 -4.834 2.399
Sn 2.170 1.756 4.068
Sn 2.170 -1.756 1.092
Sn 5.521 2.166 0.849
Sn 5.521 -2.166 3.826
Sn 8.871 1.756 4.068
Sn 8.871 -1.756 1.092
```

Output
**Space-group type**: Cmc2_1 (36)
**DFT formation energy**: -0.08 eV/atom
**Density of states at the Fermi level**: 3.5 states/eV/f.u.

***

11.
VASP calculation (PBE) on crystalline KRb2Ca at its relaxed geometry.

extended XYZ file:
```
16
Lattice="10.396 0.000 0.000 0.000 10.396 0.000 0.000 0.000 10.396" Properties=species:S:1:pos:R:3 pbc="T T T"
K 0.000 0.000 0.000
K 0.000 5.198 5.198
K 5.198 0.000 5.198
K 5.198 5.198 0.000
Rb 2.599 2.599 2.599
Rb 2.599 2.599 7.797
Rb 2.599 7.797 2.599
Rb 2.599 7.797 7.797
Rb 7.797 2.599 2.599
Rb 7.797 2.599 7.797
Rb 7.797 7.797 2.599
Rb 7.797 7.797 7.797
Ca 0.000 0.000 5.198
Ca 0.000 5.198 0.000
Ca 5.198 0.000 0.000
Ca 5.198 5.198 5.198
```

Output
**Space-group type**: Fm-3m (225)
**DFT formation energy**: 0.18 eV/atom
**Density of states at the Fermi level**: 4.4 states/eV/f.u.

***

12.
VASP calculation (PBE) on crystalline LaRuN2 at its relaxed geometry.

extended XYZ file:
```
12
Lattice="3.410 0.000 0.000 -1.705 2.953 0.000 0.000 0.000 18.085" Properties=species:S:1:pos:R:3 pbc="T T T"
La 0.000 0.000 0.000
La 0.000 1.969 12.057
La 1.705 0.984 6.028
Ru 0.000 0.000 9.043
Ru 0.000 1.969 3.014
Ru 1.705 0.984 15.071
N 0.000 0.000 2.275
N 0.000 0.000 15.810
N 0.000 1.969 9.782
N 0.000 1.969 14.332
N 1.705 0.984 3.753
N 1.705 0.984 8.304
```

Output
**Space-group type**: R-3m (166)
**Uncorrected formation energy**: 312 meV/atom
**Density of states at the Fermi level**: 2.3 states/eV/f.u.

***

13.
VASP calculation (PBE) on crystalline ZnBrCl at its relaxed geometry.

extended XYZ file:
```
12
Lattice="6.301 0.000 0.000 0.000 11.166 0.000 0.000 0.000 6.078" Properties=species:S:1:pos:R:3 pbc="T T T"
Zn 0.000 0.000 0.000
Zn 0.000 5.583 3.039
Zn 3.150 0.000 0.000
Zn 3.150 5.583 3.039
Br 1.575 1.353 1.299
Br 1.575 4.230 4.338
Br 4.725 6.936 4.338
Br 4.725 9.813 1.299
Cl 1.575 6.753 1.806
Cl 1.575 9.996 4.845
Cl 4.725 1.170 4.845
Cl 4.725 4.413 1.806
```

Output
**Space-group type**: Ima2 (46)
**Uncorrected formation energy**: -1000 meV/atom
**Density of states at the Fermi level**: 0.0 states/eV/f.u.

***

14.
VASP calculation (PBE) on crystalline MgOs at its relaxed geometry.

extended XYZ file:
```
4
Lattice="2.888 0.000 0.000 0.000 2.888 0.000 0.000 0.000 8.124" Properties=species:S:1:pos:R:3 pbc="T T T"
Mg 0.722 0.722 1.320
Mg 2.166 2.166 6.804
Os 0.722 0.722 4.867
Os 2.166 2.166 3.257
```

Output
**Space-group type**: P4/nmm (129)
**DFT formation energy**: 0.04 eV/atom
**Density of states at the Fermi level**: 1.2 states/eV/f.u.

***

15.
VASP calculation (PBE) on crystalline TbPr2Sm2Tm at its relaxed geometry.

extended XYZ file:
```
12
Lattice="7.088 0.000 0.000 0.000 5.715 0.000 0.000 0.000 9.901" Properties=species:S:1:pos:R:3 pbc="T T T"
Tb 1.772 0.000 1.560
Tb 5.316 0.000 8.341
Pr 0.000 0.000 4.951
Pr 1.772 2.857 6.717
Pr 3.544 0.000 4.951
Pr 5.316 2.857 3.184
Sm 1.772 0.000 8.241
Sm 1.772 2.857 3.326
Sm 5.316 0.000 1.661
Sm 5.316 2.857 6.575
Tm 0.000 2.857 0.000
Tm 3.544 2.857 0.000
```

Output
**Space-group type**: Pmma (51)
**DFT formation energy**: 0.06 eV/atom
**Density of states at the Fermi level**: 9.1 states/eV/f.u.

***

16.
VASP calculation (PBE) on crystalline Re2PbBr at its relaxed geometry.

extended XYZ file:
```
8
Lattice="2.938 0.000 0.000 0.000 5.075 0.000 0.000 0.000 10.132" Properties=species:S:1:pos:R:3 pbc="T T T"
Re 0.000 0.000 2.320
Re 0.000 0.000 7.812
Re 1.469 2.538 2.746
Re 1.469 2.538 7.386
Pb 0.000 2.538 0.000
Pb 1.469 0.000 5.066
Br 0.000 2.538 5.066
Br 1.469 0.000 0.000
```

Output
**Space-group type**: Immm (71)
**Uncorrected formation energy**: 1356 meV/atom
**Density of states at the Fermi level**: 4.5 states/eV/f.u.

***

17.
VASP calculation (PBE) on crystalline Sn3Pd5I12 at its relaxed geometry.

extended XYZ file:
```
80
Lattice="-8.812 8.812 8.812 8.812 -8.812 8.812 8.812 8.812 -8.812" Properties=species:S:1:pos:R:3 pbc="T T T"
Sn 4.406 2.203 0.000
Sn 8.812 4.406 -2.203
Sn 2.203 0.000 4.406
Sn 11.015 0.000 4.406
Sn 0.000 4.406 2.203
Sn 4.406 -2.203 8.812
Sn 4.406 11.015 0.000
Sn 8.812 4.406 6.609
Sn -2.203 8.812 4.406
Sn 6.609 8.812 4.406
Sn 0.000 4.406 11.015
Sn 4.406 6.609 8.812
Pd 0.000 0.000 0.000
Pd 4.406 4.406 -4.406
Pd 4.406 -4.406 4.406
Pd 8.812 0.000 0.000
Pd 13.218 2.203 0.000
Pd 8.812 -4.406 6.609
Pd 6.609 8.812 -4.406
Pd 6.609 0.000 4.406
Pd 4.406 6.609 0.000
Pd 8.812 4.406 2.203
Pd -4.406 4.406 4.406
Pd 0.000 8.812 0.000
Pd 0.000 0.000 8.812
Pd 4.406 4.406 4.406
Pd 0.000 4.406 6.609
Pd 4.406 2.203 8.812
Pd 2.203 8.812 4.406
Pd 2.203 0.000 13.218
Pd 0.000 13.218 2.203
Pd -4.406 6.609 8.812
I 2.610 -0.477 0.974
I 10.608 5.380 -4.883
I 11.423 0.477 0.974
I 10.608 -3.432 4.883
I 8.335 -0.974 2.610
I 13.695 -1.796 3.432
I 0.974 2.610 -0.477
I 12.244 3.929 -1.796
I 5.380 4.883 -1.796
I 7.838 2.610 0.477
I -0.477 0.974 2.610
I 4.883 -1.796 5.380
I 8.335 7.838 -2.610
I 4.883 1.796 3.432
I 5.380 -4.883 10.608
I 7.838 -2.610 8.335
I 3.432 4.883 1.796
I 9.786 6.202 0.477
I 4.883 10.608 -3.432
I 8.335 0.974 6.202
I 2.610 8.335 -0.974
I 10.608 3.432 3.929
I 1.796 3.432 4.883
I 2.610 0.477 7.838
I 6.202 8.335 0.974
I 7.016 5.380 3.929
I -1.796 5.380 4.883
I 6.202 0.477 9.786
I 0.477 7.838 2.610
I 3.929 -1.796 12.244
I -0.974 2.610 8.335
I 5.380 3.929 7.016
I 0.974 11.423 0.477
I 3.432 13.695 -1.796
I 3.929 7.016 5.380
I 0.477 0.974 11.423
I 3.929 10.608 3.432
I 9.289 7.838 6.202
I 0.974 6.202 8.335
I 3.432 3.929 10.608
I -3.432 4.883 10.608
I 7.838 6.202 9.289
I -4.883 10.608 5.380
I 0.477 9.786 6.202
I -1.796 12.244 3.929
I -2.610 8.335 7.838
I -1.796 3.432 13.695
I 6.202 9.289 7.838
```

Output
**Space-group type**: Ia-3d (230)
**Uncorrected formation energy**: -158 meV/atom
**Density of states at the Fermi level**: 8.8 states/eV/f.u.

***

18.
VASP calculation (PBE) on crystalline Hf2ScTi at its relaxed geometry.

extended XYZ file:
```
12
Lattice="3.143 0.000 0.000 -1.571 2.722 0.000 0.000 0.000 30.203" Properties=species:S:1:pos:R:3 pbc="T T T"
Hf 0.000 0.000 0.000
Hf 0.000 0.000 5.294
Hf 0.000 1.815 20.135
Hf 0.000 1.815 25.429
Hf 1.571 0.907 10.068
Hf 1.571 0.907 15.361
Sc 0.000 0.000 12.702
Sc 0.000 1.815 2.634
Sc 1.571 0.907 22.769
Ti 0.000 0.000 17.738
Ti 0.000 1.815 7.671
Ti 1.571 0.907 27.806
```

Output
**Space-group type**: R3m (160)
**DFT formation energy**: 0.08 eV/atom
**Density of states at the Fermi level**: 6.5 states/eV/f.u.

***

19.
VASP calculation (PBE) on crystalline Li2VI2 at its relaxed geometry.

extended XYZ file:
```
10
Lattice="4.509 0.000 0.000 0.000 4.509 0.000 0.000 0.000 14.465" Properties=species:S:1:pos:R:3 pbc="T T T"
Li 0.000 2.255 3.616
Li 0.000 2.255 10.849
Li 2.255 0.000 3.616
Li 2.255 0.000 10.849
V 0.000 0.000 0.000
V 2.255 2.255 7.233
I 0.000 0.000 5.207
I 0.000 0.000 9.258
I 2.255 2.255 2.025
I 2.255 2.255 12.440
```

Output
**Space-group type**: I4/mmm (139)
**Uncorrected formation energy**: 10 meV/atom
**Density of states at the Fermi level**: 10.1 states/eV/f.u.

***

20.
VASP calculation (PBE) on crystalline La5PmDy at its relaxed geometry.

extended XYZ file:
```
14
Lattice="6.097 -3.509 0.000 6.097 3.509 0.000 -4.857 0.000 11.782" Properties=species:S:1:pos:R:3 pbc="T T T"
La 2.454 2.950 8.837
La -0.972 0.926 8.846
La 0.300 1.854 11.762
La 4.608 1.854 5.911
La 1.456 -0.926 2.955
La 5.881 0.926 8.827
La 2.728 -1.854 5.871
La 7.037 -1.854 0.020
La 8.309 -0.926 2.936
La 4.883 -2.950 2.946
Pm 0.620 1.754 5.891
Pm 3.048 -1.754 0.000
Dy 4.883 0.195 2.946
Dy 2.454 -0.195 8.837
```

Output
**Space-group type**: C2/c (15)
**DFT formation energy**: 0.13 eV/atom
**Density of states at the Fermi level**: 10.0 states/eV/f.u.

***

21.
VASP calculation (PBE) on crystalline SiTeIr2 at its relaxed geometry.

extended XYZ file:
```
8
Lattice="7.166 0.000 0.000 0.000 3.012 0.000 -1.065 0.000 6.452" Properties=species:S:1:pos:R:3 pbc="T T T"
Si 0.000 0.000 0.000
Si 3.583 1.506 0.000
Te -0.532 1.506 3.226
Te 3.051 0.000 3.226
Ir 1.461 1.506 1.207
Ir 1.057 0.000 5.245
Ir 5.044 0.000 1.207
Ir 4.640 1.506 5.245
```

Output
**Space-group type**: C2/m (12)
**Uncorrected formation energy**: -90 meV/atom
**Density of states at the Fermi level**: 2.4 states/eV/f.u.

***

22.
VASP calculation (PBE) on crystalline K2ClF at its relaxed geometry.

extended XYZ file:
```
8
Lattice="4.837 0.000 0.000 0.000 4.837 0.000 0.000 0.000 9.624" Properties=species:S:1:pos:R:3 pbc="T T T"
K 1.209 1.209 1.425
K 1.209 3.628 4.812
K 3.628 1.209 4.812
K 3.628 3.628 8.199
Cl 1.209 1.209 7.913
Cl 3.628 3.628 1.711
F 1.209 1.209 3.947
F 3.628 3.628 5.677
```

Output
**Space-group type**: P4/nmm (129)
**Uncorrected formation energy**: -2288 meV/atom
**Density of states at the Fermi level**: 0.0 states/eV/f.u.